No. 1
Below is Pr2NdH after structural relaxation, with properties calculated at the GGA-PBE level.

Structure (extended XYZ):
```
4
Lattice="-0.4804 3.0977 1.4980 0.2345 -1.4796 3.1347 8.7376 1.3605 -0.0115" Properties=species:S:1:pos:R:3 pbc="T T T"
Nd 4.2459 1.4893 2.3107
H -0.1229 0.8091 2.3164
Pr 7.1135 1.1076 -0.0093
Pr 1.6241 0.2529 -0.0021
```

Computed properties:
space group	No. 123
spin magnetization	0.00	Bohr magnetons per cell
offset from the most stable computed form	250	meV per atom

No. 2
Below is Pr2NdH after structural relaxation, with properties calculated at the GGA-PBE level.

Structure (extended XYZ):
```
4
Lattice="-1.7364 -3.3013 0.4691 1.8596 -3.2073 -0.6234 2.6344 -2.3225 8.4716" Properties=species:S:1:pos:R:3 pbc="T T T"
H 0.0000 0.0000 0.0000
Nd 1.3789 -4.4155 4.1587
Pr 2.2894 -6.6363 6.9646
Pr 0.4683 -2.1947 1.3527
```

Computed properties:
space group	No. 166
spin magnetization	0.00	Bohr magnetons per cell
offset from the most stable computed form	0	meV per atom

No. 3
Below is Pr2NdH8 after structural relaxation, with properties calculated at the GGA-PBE level.

Structure (extended XYZ):
```
11
Lattice="-3.4521 1.7046 -0.3860 1.3485 1.5960 -5.0114 -1.1361 -6.5691 0.5435" Properties=species:S:1:pos:R:3 pbc="T T T"
H -2.0723 -0.2992 -2.1817
H -2.5418 -1.6994 -4.1665
H 0.3602 0.4263 -1.3386
H -0.6980 -1.5691 -0.6874
H -1.4247 0.4673 -4.5883
H -1.1675 -2.9694 -2.6723
H -3.5999 -3.6948 -3.5153
H -1.8150 -3.7358 -0.2657
Pr -3.1732 -2.4013 -1.6185
Pr -0.0665 -0.8673 -3.2354
Nd -1.7260 0.8523 -0.1930
```

Computed properties:
space group	No. 71
spin magnetization	0.00	Bohr magnetons per cell
E	-4.3146	eV/atom

No. 4
Below is Pr3NdH after structural relaxation, with properties calculated at the GGA-PBE level.

Structure (extended XYZ):
```
5
Lattice="5.2245 0.0000 0.0000 0.0000 5.2245 0.0000 0.0000 0.0000 5.2245" Properties=species:S:1:pos:R:3 pbc="T T T"
H 0.0000 0.0000 0.0000
Pr 2.6123 0.0000 0.0000
Pr 0.0000 2.6123 0.0000
Pr 0.0000 0.0000 2.6123
Nd 2.6123 2.6123 2.6123
```

Computed properties:
space group	No. 221
spin magnetization	0.00	Bohr magnetons per cell
E	-4.6647	eV/atom

No. 5
Below is Pr4NdH10 after structural relaxation, with properties calculated at the GGA-PBE level.

Structure (extended XYZ):
```
15
Lattice="3.8770 0.0000 0.4764 1.9092 3.3743 0.4764 -0.0121 -0.0071 16.1124" Properties=species:S:1:pos:R:3 pbc="T T T"
Pr 4.6211 2.6948 10.4347
Pr 3.4712 2.0243 3.7783
Pr 1.1530 0.6724 6.6305
Pr 2.3028 1.3429 13.2869
H 2.0107 1.1726 15.6641
H 1.4447 0.8425 4.2566
H 4.3293 2.5247 12.8087
H 0.2762 0.1611 13.7658
H 3.7633 2.1946 1.4011
H 4.9126 2.8648 8.0624
H 0.8615 0.5024 9.0028
H 3.1798 1.8543 6.1504
H 5.4978 3.2061 3.2994
H 2.5943 1.5129 10.9148
Nd 0.0000 0.0000 0.0000
```

Computed properties:
space group	No. 166
spin magnetization	0.00	Bohr magnetons per cell
E	-4.4618	eV/atom

No. 6
Below is Pr2NdH after structural relaxation, with properties calculated at the GGA-PBE level.

Structure (extended XYZ):
```
4
Lattice="3.7324 0.0000 0.0000 1.8662 3.2323 0.0000 1.8662 1.0774 8.9811" Properties=species:S:1:pos:R:3 pbc="T T T"
Nd 3.7324 2.1549 4.4686
H 3.7324 2.1549 0.0037
Pr 1.8662 1.0774 1.4831
Pr 1.8662 1.0774 7.5162
```

Computed properties:
space group	No. 160
spin magnetization	0.00	Bohr magnetons per cell
offset from the most stable computed form	8	meV per atom

No. 7
Below is Pr5Nd3H12 after structural relaxation, with properties calculated at the GGA-PBE level.

Structure (extended XYZ):
```
80
Lattice="-3.3484 2.1161 11.2296 11.4237 -3.3561 -0.1702 -1.3229 9.9084 -6.4705" Properties=species:S:1:pos:R:3 pbc="T T T"
Nd 0.2671 4.1992 4.5495
Nd 5.4726 0.5730 8.8895
Nd 8.5850 4.7592 -3.5981
Nd 5.1452 7.1013 -2.9607
Nd 1.6072 1.5671 7.5496
Nd 5.5535 1.1731 2.4871
Nd 1.1990 7.4953 2.1018
Nd 0.0948 3.8252 0.3597
Nd -1.8326 3.9092 8.1870
Nd 1.2798 8.0954 -4.3005
Nd 6.4853 4.4692 0.0394
Nd 6.6576 4.8432 4.2292
H 7.0460 3.5201 -2.0818
H 7.8074 4.6389 2.1434
H 4.8728 5.0472 -1.7687
H 1.8797 3.6212 6.3576
H 3.4024 7.0874 -4.7400
H -1.7016 3.4071 5.8535
H 4.8071 2.9294 1.0474
H -0.3645 6.3190 3.6431
H 1.9453 5.7390 3.5415
H 7.1982 2.4907 3.6154
H -0.7975 9.2774 -4.2565
H 3.3500 1.5810 9.3289
H -0.7744 1.7079 7.6990
H 4.9446 3.2630 3.6975
H 4.2387 -0.2668 1.1041
H 2.5137 8.9352 3.4848
H 10.0903 -1.4076 -0.2014
H 2.8396 7.4831 -2.4578
H 3.9128 1.1853 7.0467
H -0.6466 7.2968 -2.9387
H 0.4808 3.5057 8.6342
H 5.4889 6.7884 5.2560
H 7.1169 2.3493 0.9458
H 6.6645 -0.9940 1.9644
H 5.7927 4.7511 6.4558
H 7.5269 6.9605 -3.1101
H 5.5186 5.2997 2.0618
H 3.4878 0.0739 3.3406
H -0.4458 6.1777 0.9735
H -3.3378 10.0760 4.7904
H 3.2646 8.5945 1.2483
H 5.9697 -0.4610 4.1815
H 1.8078 5.4054 0.8914
H -2.9989 8.1504 6.1539
H 7.5499 -0.6090 8.8454
H 7.3991 1.3716 7.5276
H 0.7827 9.1294 0.4074
H 6.2717 5.1627 -4.0453
H -0.2936 5.1483 6.6707
H 9.7513 0.5180 -1.5650
H -1.0550 4.0294 2.4455
H 6.2599 6.7078 -0.7684
H 0.9598 3.9173 -1.8669
H 8.4541 5.2613 -1.2646
H 0.4926 1.9606 5.3573
H 0.0879 9.6624 2.6245
H 1.2339 3.3687 2.5271
H 1.2635 1.8800 -0.6671
Pr 3.5346 1.4831 -0.2778
Pr -2.3357 6.0123 2.3796
Pr -0.6614 4.9542 -3.2353
Pr 1.4349 1.1931 3.3597
Pr -1.6742 1.0580 5.6148
Pr -0.8199 7.8053 -0.6630
Pr -0.9007 7.2053 5.7393
Pr 7.6532 1.4631 -1.1504
Pr 3.3762 4.3342 2.2945
Pr 7.5723 0.8631 5.2520
Pr 0.0000 0.0000 0.0000
Pr 4.1324 3.2052 5.8894
Pr 5.7119 -1.6781 -0.0851
Pr 8.9933 -1.1690 1.8497
Pr 5.0504 3.2762 -3.3204
Pr -2.2409 9.8374 2.7392
Pr 5.3175 7.4753 1.2292
Pr 4.0377 -0.6200 5.5297
Pr 3.2178 7.1853 4.8667
Pr 2.6200 5.4632 -1.3005
```

Computed properties:
space group	No. 230
spin magnetization	0.00	Bohr magnetons per cell
E	-4.3420	eV/atom

No. 8
Below is Pr2Nd3H8 after structural relaxation, with properties calculated at the GGA-PBE level.

Structure (extended XYZ):
```
13
Lattice="-0.7022 0.4120 -3.6418 -5.8308 2.6445 1.4235 0.6896 9.2445 0.9130" Properties=species:S:1:pos:R:3 pbc="T T T"
H -3.2247 7.3022 1.4479
H -2.6187 4.9988 -2.7532
H -1.7661 8.3503 -0.6266
H -1.1936 2.1491 -3.3505
H -4.6498 10.1518 2.0451
H -4.0773 3.9507 -0.6787
H -5.1636 6.5404 -0.1763
H -0.6798 5.7606 -1.1290
Pr -4.1700 8.6878 -0.1250
Pr -1.6734 3.6131 -1.1804
Nd -1.0330 6.7343 0.9611
Nd -4.1082 5.1547 1.3753
Nd -0.3511 0.2060 -1.8209
```

Computed properties:
space group	No. 10
spin magnetization	0.00	Bohr magnetons per cell
E	-4.3325	eV/atom

No. 9
Below is PrNd4H8 after structural relaxation, with properties calculated at the GGA-PBE level.

Structure (extended XYZ):
```
13
Lattice="5.9171 0.0000 0.0000 0.0000 5.9171 0.0000 0.0000 0.0000 5.9171" Properties=species:S:1:pos:R:3 pbc="T T T"
Nd 2.9585 2.9585 0.0000
Nd 0.0000 0.0000 0.0000
Nd 2.9585 0.0000 2.9585
Nd 0.0000 2.9585 2.9585
H 4.3958 4.3958 1.5212
H 1.5212 4.3958 4.3958
H 1.5212 4.3958 1.5212
H 1.5212 1.5212 4.3958
H 1.5212 1.5212 1.5212
H 4.3958 1.5212 1.5212
H 4.3958 1.5212 4.3958
H 4.3958 4.3958 4.3958
Pr 2.9585 2.9585 2.9585
```

Computed properties:
space group	No. 221
spin magnetization	2.24	Bohr magnetons per cell
E	-4.0661	eV/atom

No. 10
Below is Pr4NdH8 after structural relaxation, with properties calculated at the GGA-PBE level.

Structure (extended XYZ):
```
13
Lattice="-4.2302 -0.7193 4.1381 -0.9500 -5.5571 -1.9370 4.0913 -2.0340 3.8288" Properties=species:S:1:pos:R:3 pbc="T T T"
Pr 0.0000 0.0000 0.0000
Pr 1.5707 -3.7955 0.9459
Pr -2.5901 -3.1382 1.1005
Pr -0.0694 -1.3767 3.9834
H -2.3094 -2.5098 3.5528
H 1.6755 -3.1394 3.4046
H -2.7644 -5.1710 2.6252
H -0.2837 -2.1654 1.5711
H -0.3502 -3.4839 5.3863
H 1.2206 -5.8006 2.4770
H -0.8051 -6.1450 4.4587
H -0.7386 -4.8265 0.6435
Nd -0.5444 -4.1552 3.0149
```

Computed properties:
space group	No. 221
spin magnetization	2.06	Bohr magnetons per cell
E	-4.0883	eV/atom

No. 11
Below is Pr2Nd2Sb2H after structural relaxation, with properties calculated at the GGA-PBE level.

Structure (extended XYZ):
```
7
Lattice="4.6357 0.0000 0.0000 0.0000 4.6357 0.0000 -2.3178 -2.3178 8.8770" Properties=species:S:1:pos:R:3 pbc="T T T"
Pr 0.0000 0.0000 3.1739
Pr 2.3178 2.3178 5.7032
Sb 2.3178 2.3178 2.4279
Sb 0.0000 0.0000 6.4491
Nd 0.0000 2.3178 0.0000
Nd 2.3178 0.0000 0.0000
H 0.0000 0.0000 0.0000
```

Computed properties:
space group	No. 139
spin magnetization	0.21	Bohr magnetons per cell
E	-5.2222	eV/atom

No. 12
Below is PrNdSm2H after structural relaxation, with properties calculated at the GGA-PBE level.

Structure (extended XYZ):
```
5
Lattice="-3.9772 -2.4255 -2.2260 -0.0405 -3.4449 3.8260 -3.2827 2.9647 2.6347" Properties=species:S:1:pos:R:3 pbc="T T T"
Sm -0.0203 -1.7224 1.9130
Sm -1.6413 1.4824 1.3173
Pr -3.6502 -1.4528 2.1173
H 0.0000 0.0000 0.0000
Nd -1.9886 -1.2127 -1.1130
```

Computed properties:
space group	No. 123
spin magnetization	0.00	Bohr magnetons per cell
E	-4.6425	eV/atom

No. 13
Below is Pr2NdSmH after structural relaxation, with properties calculated at the GGA-PBE level.

Structure (extended XYZ):
```
5
Lattice="-1.6049 3.2368 -3.6990 -4.5909 0.4638 2.3976 1.8327 4.0285 2.7299" Properties=species:S:1:pos:R:3 pbc="T T T"
Pr 0.9163 2.0142 1.3650
Pr -2.2954 0.2319 1.1988
H 0.0000 0.0000 0.0000
Sm -0.8024 1.6184 -1.8495
Nd -2.1815 3.8645 0.7143
```

Computed properties:
space group	No. 123
spin magnetization	0.00	Bohr magnetons per cell
E	-4.6529	eV/atom

No. 14
Below is PrNd2SmH after structural relaxation, with properties calculated at the GGA-PBE level.

Structure (extended XYZ):
```
5
Lattice="-4.3553 0.0289 -2.7773 1.5696 -4.2511 -2.5057 -2.2996 -2.9566 3.5755" Properties=species:S:1:pos:R:3 pbc="T T T"
H 0.0000 0.0000 0.0000
Sm -2.1777 0.0144 -1.3886
Pr -2.5427 -3.5894 -0.8537
Nd -1.1498 -1.4783 1.7878
Nd 0.7848 -2.1256 -1.2529
```

Computed properties:
space group	No. 123
spin magnetization	0.00	Bohr magnetons per cell
E	-4.6527	eV/atom

No. 15
Below is Pr4Nd2Sn3H2 after structural relaxation, with properties calculated at the GGA-PBE level.

Structure (extended XYZ):
```
11
Lattice="-4.5688 1.3792 -0.8192 -0.0781 -2.6611 -4.0448 -1.9900 -9.5974 9.2511" Properties=species:S:1:pos:R:3 pbc="T T T"
Nd -2.5864 -6.1391 4.0889
Nd -4.0504 -4.7401 0.2982
Sn 0.0000 0.0000 0.0000
Sn -5.1260 -7.2930 1.9986
Sn -1.5109 -3.5862 2.3885
H -3.4124 -8.0996 5.3947
H -3.2245 -2.7796 -1.0075
Pr -2.9998 -1.0083 0.7213
Pr -0.7544 -3.0285 -0.8915
Pr -5.8825 -7.8507 5.2786
Pr -3.6371 -9.8709 3.6658
```

Computed properties:
space group	No. 139
spin magnetization	0.00	Bohr magnetons per cell
E	-4.8550	eV/atom

No. 16
Below is Tb2PrNdH after structural relaxation, with properties calculated at the GGA-PBE level.

Structure (extended XYZ):
```
5
Lattice="5.1189 0.0000 0.0000 0.0000 5.0946 0.0000 0.0000 0.0000 5.0946" Properties=species:S:1:pos:R:3 pbc="T T T"
Nd 2.5595 0.0000 0.0000
Tb 0.0000 2.5473 0.0000
Tb 0.0000 0.0000 2.5473
Pr 2.5595 2.5473 2.5473
H 0.0000 0.0000 0.0000
```

Computed properties:
space group	No. 123
spin magnetization	0.00	Bohr magnetons per cell
E	-4.6029	eV/atom

No. 17
Below is Pr2NdTlH after structural relaxation, with properties calculated at the GGA-PBE level.

Structure (extended XYZ):
```
5
Lattice="5.0603 0.0000 0.0000 0.0000 5.0440 0.0000 0.0000 0.0000 5.0440" Properties=species:S:1:pos:R:3 pbc="T T T"
Pr 0.0000 2.5220 0.0000
Pr 0.0000 0.0000 2.5220
H 0.0000 0.0000 0.0000
Tl 2.5301 2.5220 2.5220
Nd 2.5301 0.0000 0.0000
```

Computed properties:
space group	No. 123
spin magnetization	1.34	Bohr magnetons per cell
E	-4.3129	eV/atom

No. 18
Below is Pr4Nd2Tl3H2 after structural relaxation, with properties calculated at the GGA-PBE level.

Structure (extended XYZ):
```
11
Lattice="-4.7623 0.8830 0.8620 -1.0469 -4.7103 -0.9586 4.6071 -0.9828 12.4216" Properties=species:S:1:pos:R:3 pbc="T T T"
Pr -2.0914 -0.0514 2.5369
Pr -0.9684 -1.9619 10.6984
Pr -0.2337 -2.8481 1.6266
Pr 0.8893 -4.7586 9.7881
Nd -2.2241 -3.0713 4.8972
Nd 1.0220 -1.7387 7.4277
H -2.5467 -2.5226 2.5531
H 1.3445 -2.2875 9.7719
Tl 0.5947 -1.0117 4.3221
Tl -1.7968 -3.7983 8.0029
Tl 0.0000 0.0000 0.0000
```

Computed properties:
space group	No. 139
spin magnetization	0.00	Bohr magnetons per cell
E	-4.1481	eV/atom

No. 19
Below is PrNdTlH after structural relaxation, with properties calculated at the GGA-PBE level.

Structure (extended XYZ):
```
4
Lattice="3.9470 0.0000 0.0000 0.0000 4.0664 -0.0072 -1.9735 -2.0220 6.1878" Properties=species:S:1:pos:R:3 pbc="T T T"
Pr 1.9735 -0.1664 2.0951
Nd 1.9735 -0.1589 5.8225
H 1.9735 1.8646 0.8799
Tl 0.0000 1.8713 3.9960
```

Computed properties:
space group	No. 44
spin magnetization	0.52	Bohr magnetons per cell
E	-4.2481	eV/atom

No. 20
Below is PrNd2TlH after structural relaxation, with properties calculated at the GGA-PBE level.

Structure (extended XYZ):
```
5
Lattice="5.0259 0.0000 0.0000 0.0000 5.0406 0.0000 0.0000 0.0000 5.0406" Properties=species:S:1:pos:R:3 pbc="T T T"
Nd 0.0000 2.5203 0.0000
Nd 0.0000 0.0000 2.5203
Pr 2.5130 0.0000 0.0000
Tl 2.5130 2.5203 2.5203
H 0.0000 0.0000 0.0000
```

Computed properties:
space group	No. 123
spin magnetization	1.35	Bohr magnetons per cell
E	-4.3109	eV/atom